(1)
A relaxed structure of ZrCrInIr2, computed with GGA-PBEsol.

As for the volume: 105.5 Å³/f.u. The calculated formation energy is 1.48 eV/atom.

The space group is P4/mmm (No. 123) and the conventional cell measures 4.7743, 4.7743 and 4.6271 Å, with angles of 90.00, 90.00 and 90.00 degrees. The inequivalent atoms are Zr at (0.0000, 0.0000, 0.0000), Cr at (0.5000, 0.5000, 0.0000), In at (0.5000, 0.5000, 0.5000) and Ir at (0.0000, 0.5000, 0.5000).



(2)
A relaxed structure of KCrIn, computed with GGA-PBEsol.

As for the volume: 92.4 Å³/f.u. The offset from the most stable computed form comes out at 395 meV/atom. The calculated formation energy is 0.96 eV/atom.

The space group is F-43m (No. 216) and the conventional cell measures 7.1772, 7.1772 and 7.1772 Å, with angles of 90.00, 90.00 and 90.00 degrees. The inequivalent atoms are K at (0.0000, 0.0000, 0.0000), Cr at (0.2500, 0.2500, 0.7500) and In at (0.0000, 0.0000, 0.5000).



(3)
A relaxed structure of KCrIn, computed with GGA-PBEsol.

As for the volume: 85.2 Å³/f.u. The offset from the most stable computed form comes out at 0 meV/atom. The calculated formation energy is 0.57 eV/atom.

The space group is Imm2 (No. 44) and the conventional cell measures 3.1468, 4.4031 and 12.2938 Å, with angles of 90.00, 90.00 and 90.00 degrees. The inequivalent atoms are K at (0.0000, 0.0000, 0.0000), Cr at (0.0000, 0.0000, 0.7319) and In at (0.0000, 0.0000, 0.2784).



Copy entry 2 word for word.
A relaxed structure of KCrIn, computed with GGA-PBEsol.

As for the volume: 92.4 Å³/f.u. The offset from the most stable computed form comes out at 395 meV/atom. The calculated formation energy is 0.96 eV/atom.

The space group is F-43m (No. 216) and the conventional cell measures 7.1772, 7.1772 and 7.1772 Å, with angles of 90.00, 90.00 and 90.00 degrees. The inequivalent atoms are K at (0.0000, 0.0000, 0.0000), Cr at (0.2500, 0.2500, 0.7500) and In at (0.0000, 0.0000, 0.5000).